Entry 1:
Density functional theory data (PBE) for a relaxed Ba2GaBPt6 crystal.

Geometry as POSCAR:
```
Ba2GaBPt6
1.0
6.0255 0.0125 0.0268
-0.0127 7.2065 0.8450
2.9868 4.1947 5.1133
Ba Ga B Pt
2 1 1 6
direct
0.7135 0.2856 0.5724
0.2865 0.7144 0.4276
0.0000 0.0000 0.0000
0.5000 0.5000 0.0000
0.2630 0.1969 0.4737
0.8038 0.7364 0.9330
0.2631 0.7368 0.9331
0.7369 0.2632 0.0669
0.1962 0.2636 0.0670
0.7370 0.8031 0.5263
```

## Properties
**E_form**: -0.6473 eV per atom
**Total DFT energy (no corrections)**: -56.27 eV per formula unit
**Symmetry**: R-3m, No. 166

Entry 2:
Density functional theory data (PBE) for a relaxed SmEr2Pd9 crystal.

Geometry as POSCAR:
```
SmEr2Pd9
1.0
4.1317 0.0000 0.0000
0.0000 4.1317 0.0000
0.0000 0.0000 12.3575
Sm Er Pd
1 2 9
direct
0.0000 0.0000 0.0000
0.0000 0.0000 0.3362
0.0000 0.0000 0.6638
0.5000 0.5000 0.0000
0.5000 0.5000 0.3347
0.5000 0.5000 0.6653
0.5000 0.0000 0.1711
0.5000 0.0000 0.5000
0.5000 0.0000 0.8289
0.0000 0.5000 0.1711
0.0000 0.5000 0.5000
0.0000 0.5000 0.8289
```

## Properties
**E_form**: -0.8652 eV per atom
**Total DFT energy (no corrections)**: -70.96 eV per formula unit
**Symmetry**: P4/mmm, No. 123

Entry 3:
Density functional theory data (PBE) for a relaxed K2CuRuCl6 crystal.

Geometry as POSCAR:
```
K2CuRuCl6
1.0
-0.4427 3.2500 -6.1398
0.7743 -3.5999 -5.9074
-11.3592 -2.1632 -4.2719
K Cu Ru Cl
4 2 2 12
direct
0.8768 0.8768 0.3696
0.1232 0.1232 0.6304
0.7030 0.7030 0.8911
0.2970 0.2970 0.1089
0.5851 0.5851 0.2448
0.4149 0.4149 0.7552
0.0000 0.0000 0.0000
0.5000 0.5000 0.5000
0.8614 0.3797 0.3791
0.3797 0.8614 0.3791
0.3797 0.3797 0.3791
0.1386 0.6203 0.6209
0.6203 0.1386 0.6209
0.6203 0.6203 0.6209
0.7141 0.2031 0.8796
0.2031 0.7141 0.8796
0.2031 0.2031 0.8796
0.2859 0.7969 0.1204
0.7969 0.2859 0.1204
0.7969 0.7969 0.1204
```

## Properties
**Total DFT energy (no corrections)**: -37.13 eV per formula unit
**Symmetry**: R-3m, No. 166
**Formation energy from raw total energies**: -1048 meV per atom

Entry 4:
Density functional theory data (PBE) for a relaxed ZrRh2SN crystal.

Geometry as POSCAR:
```
ZrRh2SN
1.0
4.4355 0.0000 0.0000
0.0000 3.9168 0.0000
0.0000 0.0000 4.4355
S Rh Zr N
1 2 1 1
direct
0.0000 0.0000 0.0000
0.0000 0.0000 0.5000
0.5000 0.0000 0.0000
0.5000 0.5000 0.5000
0.0000 0.5000 0.0000
```

## Properties
**Total DFT energy (no corrections)**: -32.91 eV per formula unit
**Symmetry**: P4/mmm, No. 123
**Formation energy from raw total energies**: 558 meV per atom

Entry 5:
Density functional theory data (PBE) for a relaxed Dy2MgGa12 crystal.

Geometry as POSCAR:
```
Dy2MgGa12
1.0
5.8420 0.0000 0.0000
0.0000 5.8420 0.0000
0.0000 0.0000 17.5043
Dy Mg Ga
4 2 24
direct
0.5000 0.0000 0.2799
0.0000 0.5000 0.2799
0.0000 0.5000 0.7201
0.5000 0.0000 0.7201
0.5000 0.0000 0.0000
0.0000 0.5000 0.0000
0.5000 0.5000 0.7885
0.0000 0.0000 0.7885
0.7514 0.7486 0.8835
0.2514 0.7514 0.8835
0.0000 0.0000 0.3517
0.2486 0.7486 0.1165
0.8241 0.3241 0.5644
0.5000 0.5000 0.3517
0.2486 0.2514 0.8835
0.7486 0.7514 0.1165
0.3241 0.1759 0.5644
0.6759 0.1759 0.4356
0.0000 0.0000 0.6483
0.1759 0.3241 0.4356
0.2514 0.2486 0.1165
0.8241 0.6759 0.4356
0.6759 0.8241 0.5644
0.0000 0.0000 0.2115
0.1759 0.6759 0.5644
0.5000 0.5000 0.6483
0.7486 0.2486 0.8835
0.5000 0.5000 0.2115
0.3241 0.8241 0.4356
0.7514 0.2514 0.1165
```

## Properties
**E_form**: -0.2773 eV per atom
**Total DFT energy (no corrections)**: -51.28 eV per formula unit
**Symmetry**: P4/nbm, No. 125

Entry 6:
Density functional theory data (PBE) for a relaxed ZrCd2Ag4 crystal.

Geometry as POSCAR:
```
ZrCd2Ag4
1.0
5.0487 -1.0581 0.1853
1.4095 2.6360 0.3926
-1.3982 -0.6250 8.9752
Zr Cd Ag
1 2 4
direct
0.0000 0.0000 0.0000
0.8592 0.5685 0.7027
0.1408 0.4315 0.2973
0.7077 0.1443 0.4255
0.2923 0.8557 0.5745
0.5642 0.7153 0.1429
0.4358 0.2847 0.8571
```

## Properties
**E_form**: -0.0336 eV per atom
**Total DFT energy (no corrections)**: -22.02 eV per formula unit
**Symmetry**: P-1, No. 2

Entry 7:
Density functional theory data (PBE) for a relaxed CrAg2Ir crystal.

Geometry as POSCAR:
```
CrAg2Ir
1.0
9.5857 -0.0484 -0.0283
9.1893 2.7285 -0.0283
9.1893 1.3118 2.3926
Ag Cr Ir
2 1 1
direct
0.9985 0.9985 0.9985
0.5015 0.5015 0.5015
0.2500 0.2500 0.2500
0.7500 0.7500 0.7500
```

## Properties
**E_form**: 0.5390 eV per atom
**Total DFT energy (no corrections)**: -22.03 eV per formula unit
**Energy above the most stable polymorph in this dataset**: 0.347 eV per atom
**Symmetry**: R-3m, No. 166

Entry 8:
Density functional theory data (PBE) for a relaxed Zr2NiP crystal.

Geometry as POSCAR:
```
Zr2NiP
1.0
-1.5196 -2.7743 -1.8933
2.2283 0.7186 -2.8414
4.5035 -2.7719 0.4472
Ni Zr P
1 2 1
direct
0.0000 0.6940 0.4868
0.0000 0.9789 0.9174
0.5000 0.2734 0.3278
0.5000 0.5537 0.7681
```

## Properties
**E_form**: -0.9804 eV per atom
**Total DFT energy (no corrections)**: -32.21 eV per formula unit
**Symmetry**: Amm2, No. 38

Entry 9:
Density functional theory data (PBE) for a relaxed Th3Sn3Ru2 crystal.

Geometry as POSCAR:
```
Th3Sn3Ru2
1.0
5.9153 0.0000 0.0000
0.0000 8.5161 0.0000
0.0000 0.0000 15.7571
Th Sn Ru
12 12 8
direct
0.1006 0.4675 0.3877
0.6006 0.0325 0.6123
0.8994 0.5325 0.8877
0.3994 0.9675 0.1123
0.8994 0.5325 0.6123
0.3994 0.9675 0.3877
0.1006 0.4675 0.1123
0.6006 0.0325 0.8877
0.6301 0.3293 0.2500
0.1301 0.1707 0.7500
0.3699 0.6707 0.7500
0.8699 0.8293 0.2500
0.1222 0.1768 0.2500
0.6222 0.3232 0.7500
0.8778 0.8232 0.7500
0.3778 0.6768 0.2500
0.6000 0.3160 0.4679
0.1000 0.1840 0.5321
0.4000 0.6840 0.9679
0.9000 0.8160 0.0321
0.4000 0.6840 0.5321
0.9000 0.8160 0.4679
0.6000 0.3160 0.0321
0.1000 0.1840 0.9679
0.8458 0.0916 0.3856
0.3458 0.4084 0.6144
0.1542 0.9084 0.8856
0.6542 0.5916 0.1144
0.1542 0.9084 0.6144
0.6542 0.5916 0.3856
0.8458 0.0916 0.1144
0.3458 0.4084 0.8856
```

## Properties
**E_form**: -0.5337 eV per atom
**Total DFT energy (no corrections)**: -57.09 eV per formula unit
**Symmetry**: Pnma, No. 62

Entry 10:
Density functional theory data (PBE) for a relaxed Ac2SnSb2O2 crystal.

Geometry as POSCAR:
```
Ac2SnSb2O2
1.0
4.0012 0.0000 0.0000
-2.0006 3.4652 0.0000
0.0000 0.0000 15.2016
Ac Sn Sb O
2 1 2 2
direct
0.6667 0.3333 0.3894
0.3333 0.6667 0.6106
0.0000 0.0000 0.0000
0.0000 0.0000 0.7918
0.0000 0.0000 0.2082
0.6667 0.3333 0.5620
0.3333 0.6667 0.4380
```

## Properties
**Total DFT energy (no corrections)**: -41.02 eV per formula unit
**Symmetry**: P-3m1, No. 164
**Formation energy from raw total energies**: -1519 meV per atom

Entry 11:
Density functional theory data (PBE) for a relaxed TmCoPb crystal.

Geometry as POSCAR:
```
TmCoPb
1.0
-1.2460 -1.5563 -4.0932
4.3712 -0.2015 1.2781
-3.6226 -5.9043 3.3477
Tm Co Pb
2 2 2
direct
0.7453 0.4905 0.2347
0.2547 0.5095 0.7653
0.1309 0.2618 0.3925
0.8691 0.7382 0.6075
0.5000 0.0000 0.5000
0.0000 0.0000 0.0000
```

## Properties
**E_form**: -0.1424 eV per atom
**Total DFT energy (no corrections)**: -15.71 eV per formula unit
**Symmetry**: C2/m, No. 12

Entry 12:
Density functional theory data (PBE) for a relaxed TbAlZnCu6 crystal.

Geometry as POSCAR:
```
TbAlZnCu6
1.0
-5.1125 -4.5901 -0.3333
3.3557 -4.2422 6.9489
-1.7541 7.1354 -0.3765
Tb Al Zn Cu
2 2 2 12
direct
0.7185 0.4685 0.4371
0.2815 0.5315 0.5629
0.5000 0.5000 0.0000
0.5000 0.0000 0.0000
0.5000 0.0000 0.5000
0.0000 0.0000 0.5000
0.5799 0.8299 0.1599
0.9744 0.2244 0.9488
0.9459 0.1281 0.2554
0.3095 0.6273 0.2554
0.3095 0.1281 0.2554
0.9459 0.6273 0.2554
0.4201 0.1701 0.8401
0.0256 0.7756 0.0512
0.0541 0.8719 0.7446
0.6905 0.3727 0.7446
0.6905 0.8719 0.7446
0.0541 0.3727 0.7446
```

## Properties
**E_form**: 0.1156 eV per atom
**Total DFT energy (no corrections)**: -33.18 eV per formula unit
**Symmetry**: Imma, No. 74

Entry 13:
Density functional theory data (PBE) for a relaxed Zn2OsSe crystal.

Geometry as POSCAR:
```
Zn2OsSe
1.0
4.6611 -0.0029 0.0014
3.6839 2.8557 0.0014
1.1850 0.4051 5.8195
Os Se Zn
1 1 2
direct
0.5336 0.5336 0.5817
0.1547 0.1547 0.2727
0.0213 0.0213 0.9416
0.7904 0.7904 0.7041
```

## Properties
**Total DFT energy (no corrections)**: -16.77 eV per formula unit
**Symmetry**: Cm, No. 8
**Formation energy from raw total energies**: 124 meV per atom

Entry 14:
Density functional theory data (PBE) for a relaxed PmI3 crystal.

Geometry as POSCAR:
```
PmI3
1.0
-2.7405 -6.0638 -4.2763
3.0583 -1.2906 7.1798
-7.0408 3.3504 2.1679
Pm I
2 6
direct
0.8335 0.1665 0.0000
0.1665 0.8335 0.0000
0.9372 0.5774 0.2360
0.5774 0.9372 0.2360
0.7837 0.7837 0.7621
0.2163 0.2163 0.2379
0.4226 0.0628 0.7640
0.0628 0.4226 0.7640
```

## Properties
**Total DFT energy (no corrections)**: -15.08 eV per formula unit
**Symmetry**: C2/m, No. 12
**Formation energy from raw total energies**: -1420 meV per atom

Entry 15:
Density functional theory data (PBE) for a relaxed ZrVGaMo2 crystal.

Geometry as POSCAR:
```
ZrVGaMo2
1.0
4.4858 0.0000 0.0000
0.0000 4.9266 0.0000
0.0000 0.0000 4.4858
Mo Ga Zr V
2 1 1 1
direct
0.0000 0.0000 0.5000
0.5000 0.0000 0.0000
0.5000 0.5000 0.5000
0.0000 0.5000 0.0000
0.0000 0.0000 0.0000
```

## Properties
**E_form**: 0.9389 eV per atom
**Total DFT energy (no corrections)**: -37.66 eV per formula unit
**Symmetry**: P4/mmm, No. 123

Entry 16:
Density functional theory data (PBE) for a relaxed ZnSb2Ru crystal.

Geometry as POSCAR:
```
ZnSb2Ru
1.0
-0.2759 -2.1450 2.4768
5.8566 2.1631 2.5256
1.9719 3.9152 3.6103
Ru Sb Zn
1 2 1
direct
0.0000 0.0000 0.5000
0.0000 0.0000 0.0000
0.5000 0.5000 0.0000
0.5000 0.5000 0.5000
```

## Properties
**Total DFT energy (no corrections)**: -17.85 eV per formula unit
**Symmetry**: P2/m, No. 10
**Formation energy from raw total energies**: 237 meV per atom

Entry 17:
Density functional theory data (PBE) for a relaxed RbSr2ZnHg crystal.

Geometry as POSCAR:
```
RbSr2ZnHg
1.0
6.4388 0.0000 0.0000
0.0000 5.2994 0.0000
0.0000 0.0000 6.4388
Sr Zn Hg Rb
2 1 1 1
direct
0.0000 0.0000 0.5000
0.5000 0.0000 0.0000
0.0000 0.5000 0.0000
0.0000 0.0000 0.0000
0.5000 0.5000 0.5000
```

## Properties
**E_form**: 0.0176 eV per atom
**Total DFT energy (no corrections)**: -5.82 eV per formula unit
**Symmetry**: P4/mmm, No. 123

Entry 18:
Density functional theory data (PBE) for a relaxed NdSnAuS crystal.

Geometry as POSCAR:
```
NdSnAuS
1.0
4.6214 0.0000 0.0000
2.3107 4.0023 0.0000
2.3107 1.3341 11.5172
Nd Sn Au S
2 2 2 2
direct
0.1132 0.1132 0.6604
0.8868 0.8868 0.3396
0.7007 0.7007 0.8978
0.2993 0.2993 0.1022
0.6158 0.6158 0.1527
0.3842 0.3842 0.8473
0.8031 0.8031 0.5906
0.1969 0.1969 0.4094
```

## Properties
**Total DFT energy (no corrections)**: -20.33 eV per formula unit
**Symmetry**: R-3m, No. 166
**Formation energy from raw total energies**: -1039 meV per atom

Values of V, in order: 20.01 17.58 24.45 15.41 19.91 19.31 16.09 16.89 24.81 30.11 21.67 16.11 19.38 51.92 19.83 20.37 43.94 26.63, all in A^3/atom.